A geometry-optimized Sm3Tm3Ge4 structure. Source: Alexandria via LeMat-Bulk, functional PBE.

Properties
- Total DFT energy (no corrections): -5.391 eV per atom
- Space group: Amm2

Cell lengths 4.3106, 7.5781, 7.5781 Å; angles 90.01, 90.00, 90.00 degrees
Closest atoms and distances in Å follow each position.
Positions (direct):
Sm  0.5000  0.8280  0.1720  6 Ge 3.07-3.15
Ge  0.0000  0.8806  0.8738  1 Ge 2.63
Sm  0.5000  0.6732  0.6754  6 Ge 3.06-3.17
Ge  0.0000  0.6239  0.3761  1 Ge 2.72, 2 Tm 3.00
Tm  0.5000  0.1736  0.8264  6 Ge 3.01-3.12
Sm  0.5000  0.3246  0.3268  6 Ge 3.06-3.17
Ge  0.0000  0.3698  0.6302  1 Ge 2.72, 4 Tm 2.97-3.01
Tm  0.0000  0.9999  0.4996  4 Ge 2.97-3.04
Ge  0.0000  0.1262  0.1194  1 Ge 2.63
Tm  0.0000  0.5004  0.0001  4 Ge 2.97-3.04

***

A geometry-optimized Sm2TmGe2 structure. Source: Alexandria via LeMat-Bulk, functional PBE.

Properties
- ΔE to the lowest computed polymorph: 79 meV per atom
- Total DFT energy (no corrections): -5.346 eV per atom
- Space group: C2/m

Cell lengths 4.3930, 6.5549, 9.8636 Å; angles 78.10, 77.13, 70.42 degrees
Closest atoms and distances in Å follow each position.
Positions (direct):
Sm  0.5161  0.6550  0.3128  6 Ge 3.07-3.27
Tm  0.7786  0.0792  0.3635  4 Ge 2.82-2.98
Ge  0.1182  0.3260  0.4376  1 Ge 2.61, 2 Tm 2.82
Ge  0.0192  0.8516  0.1101  1 Ge 2.59
Sm  0.6799  0.7296  0.9106  5 Ge 3.08-3.41
Ge  0.8818  0.6740  0.5624  1 Ge 2.61, 2 Tm 2.82
Tm  0.2214  0.9208  0.6365  4 Ge 2.82-2.98
Sm  0.3201  0.2704  0.0894  5 Ge 3.08-3.41
Sm  0.4839  0.3450  0.6872  6 Ge 3.07-3.27
Ge  0.9808  0.1484  0.8899  1 Ge 2.59

***

A geometry-optimized Sm2TmGe2 structure. Source: Alexandria via LeMat-Bulk, functional PBE.

Properties
- ΔE to the lowest computed polymorph: 0 meV per atom
- Total DFT energy (no corrections): -5.425 eV per atom
- Space group: P4/mbm

Cell lengths 4.3550, 7.6107, 7.6107 Å; angles 90.00, 90.00, 90.00 degrees
Closest atoms and distances in Å follow each position.
Positions (direct):
Ge  0.0000  0.8758  0.6242  1 Ge 2.67
Tm  0.0000  0.0000  0.0000  4 Ge 3.01
Sm  0.5000  0.8261  0.3261  6 Ge 3.08-3.17
Sm  0.5000  0.1739  0.6739  6 Ge 3.08-3.17
Ge  0.0000  0.6242  0.1242  1 Ge 2.67
Ge  0.0000  0.3758  0.8758  1 Ge 2.67
Tm  0.0000  0.5000  0.5000  4 Ge 3.01
Sm  0.5000  0.3261  0.1739  6 Ge 3.08-3.17
Ge  0.0000  0.1242  0.3758  1 Ge 2.67
Sm  0.5000  0.6739  0.8261  6 Ge 3.08-3.17

***

| no. | energy of formation (eV per atom) |
| --- | --- |
| 1 | -0.79 |
| 2 | -0.72 |
| 3 | -0.80 |